Here is a relaxed structure of AcTb2Nd4Tm from Alexandria via LeMat-Bulk. Energies are from PBE.

The structure in POSCAR format:
```
AcTb2Nd4Tm
1.0
5.9876 0.0000 0.0000
0.0000 5.9876 0.0000
0.0000 0.0000 7.8061
Ac Tb Nd Tm
1 2 4 1
Direct
0.0000 0.0000 0.0000
0.0000 0.0000 0.5000
0.5000 0.5000 0.0000
0.0000 0.5000 0.2712
0.0000 0.5000 0.7288
0.5000 0.0000 0.2712
0.5000 0.0000 0.7288
0.5000 0.5000 0.5000
```

Properties
Magnetic moment, μB/atom: 0.0000
Space-group type: P4/mmm, No. 123
Density, g cm⁻³: 7.66
ΔE_f, meV per atom: 121

---

Here is a relaxed structure of AcTbNd2Tm4 from Alexandria via LeMat-Bulk. Energies are from PBE.

The structure in POSCAR format:
```
AcTbNd2Tm4
1.0
-3.4419 5.9608 6.7090
3.4419 -5.9608 6.7090
3.4419 5.9608 -6.7090
Ac Tb Nd Tm
2 2 4 8
Direct
0.0000 0.0000 0.0000
0.5000 0.0000 0.5000
0.5000 0.0000 0.0000
0.5000 0.5000 0.5000
0.0000 0.0000 0.5000
0.0000 0.5000 0.0000
0.0000 0.5000 0.5000
0.5000 0.5000 0.0000
0.2459 0.7418 0.5042
0.2537 0.2663 0.5126
0.2537 0.7411 0.9874
0.2624 0.2582 0.0042
0.7376 0.7418 0.9958
0.7463 0.2589 0.0126
0.7463 0.7337 0.4874
0.7541 0.2582 0.4958
```

Properties
Magnetic moment, μB/atom: 0.0073
Space-group type: Imma, No. 74
Density, g cm⁻³: 8.14
ΔE_f, meV per atom: 435

---

Here is a relaxed structure of AcTbNd6Tm2 from Alexandria via LeMat-Bulk. Energies are from PBE.

The structure in POSCAR format:
```
AcTbNd6Tm2
1.0
4.6554 -7.7001 0.0000
4.6554 7.7001 0.0000
-1.4605 0.0000 9.8290
Ac Tb Nd Tm
2 2 12 4
Direct
0.1011 0.8989 0.7500
0.8989 0.1011 0.2500
0.4686 0.5314 0.2500
0.5314 0.4686 0.7500
0.0059 0.7929 0.3763
0.0726 0.5324 0.1741
0.2071 0.9941 0.1237
0.2641 0.6096 0.5560
0.3904 0.7359 0.9440
0.4676 0.9274 0.3259
0.5324 0.0726 0.6741
0.6096 0.2641 0.0560
0.7359 0.3904 0.4440
0.7929 0.0059 0.8763
0.9274 0.4676 0.8259
0.9941 0.2071 0.6237
0.2090 0.3049 0.9551
0.3049 0.2090 0.4551
0.6951 0.7910 0.5449
0.7910 0.6951 0.0449
```

Properties
Magnetic moment, μB/atom: 0.0000
Space-group type: C2/c, No. 15
Density, g cm⁻³: 7.49
ΔE_f, meV per atom: 119

---

Here is a relaxed structure of Ac2TbNdTm from Alexandria via LeMat-Bulk. Energies are from PBE.

The structure in POSCAR format:
```
Ac2TbNdTm
1.0
6.4483 0.0000 0.0000
0.0000 8.9560 0.0000
0.0000 0.0000 6.7089
Ac Tb Nd Tm
4 2 2 2
Direct
0.2500 0.2041 0.2132
0.2500 0.7959 0.2132
0.7500 0.2041 0.7868
0.7500 0.7959 0.7868
0.2500 0.0000 0.6858
0.7500 0.0000 0.3142
0.2500 0.5000 0.9178
0.7500 0.5000 0.0822
0.0000 0.5000 0.5000
0.5000 0.5000 0.5000
```

Properties
Magnetic moment, μB/atom: 0.0000
Space-group type: Pmma, No. 51
Density, g cm⁻³: 7.94
ΔE_f, meV per atom: 265

---

Here is a relaxed structure of AcTbNdTm2 from Alexandria via LeMat-Bulk. Energies are from PBE.

The structure in POSCAR format:
```
AcTbNdTm2
1.0
6.3782 0.0000 0.0000
0.0000 5.8298 0.0000
-3.1377 0.0000 9.2346
Ac Tb Nd Tm
2 2 2 4
Direct
0.0684 0.2500 0.3036
0.9316 0.7500 0.6964
0.3371 0.7500 0.5028
0.6629 0.2500 0.4972
0.1371 0.7500 0.0977
0.8629 0.2500 0.9023
0.2813 0.2500 0.7073
0.4652 0.2500 0.0958
0.5348 0.7500 0.9042
0.7187 0.7500 0.2927
```

Properties
Magnetic moment, μB/atom: 0.0000
Space-group type: P2_1/m, No. 11
Density, g cm⁻³: 8.40
ΔE_f, meV per atom: 47

---

Here is a relaxed structure of AcTbNd4Tm2 from Alexandria via LeMat-Bulk. Energies are from PBE.

The structure in POSCAR format:
```
AcTbNd4Tm2
1.0
11.5433 0.0000 0.0000
0.0000 5.1786 0.0000
-4.6801 0.0000 9.2698
Ac Tb Nd Tm
2 2 8 4
Direct
0.0000 0.0000 0.0000
0.5000 0.5000 0.0000
0.0000 0.0000 0.5000
0.5000 0.5000 0.5000
0.2471 0.0000 0.8692
0.2485 0.5000 0.6214
0.2515 0.0000 0.3786
0.2529 0.5000 0.1308
0.7471 0.5000 0.8692
0.7485 0.0000 0.6214
0.7515 0.5000 0.3786
0.7529 0.0000 0.1308
0.0008 0.5000 0.7433
0.4992 0.0000 0.2567
0.5008 0.0000 0.7433
0.9992 0.5000 0.2567
```

Properties
Magnetic moment, μB/atom: 0.0000
Space-group type: C2/m, No. 12
Density, g cm⁻³: 7.80
ΔE_f, meV per atom: 36